## BaTiOs2 (PBE-GGA)

Data for a relaxed structure of BaTiOs2.

The structure in CIF format:
```
data_BaTiOs2
_chemical_formula_sum 'Ba2 Ti2 Os4'
_symmetry_space_group_name_H-M 'P 1'
_symmetry_Int_Tables_number 1
_symmetry_space_group_name_Hall 'P 1'
_cell_length_a 5.045
_cell_length_b 5.045
_cell_length_c 9.156
_cell_angle_alpha 74.01
_cell_angle_beta 74.01
_cell_angle_gamma 90.00
loop_
_atom_site_label
_atom_site_type_symbol
_atom_site_fract_x
_atom_site_fract_y
_atom_site_fract_z
Ba1 Ba 0.000 0.000 0.000
Ba2 Ba 0.750 0.250 0.500
Os1 Os 0.376 0.125 0.250
Os2 Os 0.374 0.625 0.250
Os3 Os 0.375 0.624 0.750
Os4 Os 0.875 0.626 0.750
Ti1 Ti 0.500 0.500 0.000
Ti2 Ti 0.250 0.750 0.500
```

Calculated values
energy relative to the lowest polymorph listed for this composition = 0 meV/atom
ρ = 8.75 g cm⁻³
formation energy from the elements = 2.70 eV/f.u.
DOS(E_F) = 1.332 states/eV/atom
space group = I4_1/amd